KRbAg: relaxed, PBE-GGA.

Properties
Polymorph energy (0 for the lowest one) ... 0 meV/atom
SG ... F-43m
Crystal system ... cubic
DFT total energy ... -1.546 eV per atom

abc: 6.045 6.045 6.045
angles: 60.00 60.00 60.00
Fractional positions:
1 K 0.000 0.000 0.000
2 Rb 0.500 0.500 0.500
3 Ag 0.250 0.250 0.250